First-principles (PBE-GGA) data for crystalline MnGa2Pt9 at its relaxed geometry, as listed in Alexandria.

Output
- ρ: 17.6 g/cm³
- Volume: 15.3 Å³ per atom
- DFT total energy: -6.21 eV/atom

Cell lengths 3.9436, 3.9436, 11.8002 Å; angles 90.00, 90.00, 90.00 degrees
Atoms (fractional coordinates):
Mn1 0.0000 0.0000 0.0000
Ga1 0.0000 0.0000 0.3326
Ga2 0.0000 0.0000 0.6674
Pt1 0.0000 0.5000 0.1656
Pt2 0.0000 0.5000 0.5000
Pt3 0.0000 0.5000 0.8344
Pt4 0.5000 0.0000 0.1656
Pt5 0.5000 0.0000 0.5000
Pt6 0.5000 0.0000 0.8344
Pt7 0.5000 0.5000 0.0000
Pt8 0.5000 0.5000 0.3333
Pt9 0.5000 0.5000 0.6667